Record 1
# TaIn2Mo (PBE-GGA, relaxed)
# ΔH_f (0 K), eV/atom: 0.541
# Calculated density, g/cm3: 11.158
# Crystal system: cubic
data_TaIn2Mo
_cell_length_a 6.706
_cell_length_b 6.706
_cell_length_c 6.706
_cell_angle_alpha 90.00
_cell_angle_beta 90.00
_cell_angle_gamma 90.00
_symmetry_space_group_name_H-M 'F m -3 m'
_symmetry_Int_Tables_number 225
_symmetry_space_group_name_Hall '-F 4 2 3'
loop_
_atom_site_label
_atom_site_fract_x
_atom_site_fract_y
_atom_site_fract_z
Ta1 0.000 0.000 0.000
In1 0.250 0.250 0.250
Mo1 0.000 0.000 0.500


Record 2
# YNpSi2O8 (PBE-GGA, relaxed)
# Calculated density, g/cm3: 5.684
# Crystal system: tetragonal
# Final energy, Ry per atom: -0.647
data_YNpSi2O8
_cell_length_a 6.934
_cell_length_b 6.934
_cell_length_c 6.200
_cell_angle_alpha 90.00
_cell_angle_beta 90.00
_cell_angle_gamma 90.00
_symmetry_space_group_name_H-M 'I -4 m 2'
_symmetry_Int_Tables_number 119
_symmetry_space_group_name_Hall 'I -4 -2'
loop_
_atom_site_label
_atom_site_fract_x
_atom_site_fract_y
_atom_site_fract_z
Y1 0.000 0.000 0.000
Np1 0.000 0.500 0.750
Si1 0.000 0.000 0.500
Si2 0.000 0.500 0.250
O1 0.000 0.185 0.668
O2 0.000 0.322 0.075